Entry from Alexandria: an optimized crystal structure of RbLiNp2S4 (PBE).

Summary:
Uncorrected energy, eV per atom: -7.0480
Formation energy (no corrections), eV/atom: -1.389

Geometry as extended XYZ:
```
16
Lattice="-3.2222 -1.7488 -1.7932 5.7805 -2.7484 -3.0624 0.2155 -10.2117 9.5715" Properties=species:S:1:pos:R:3 pbc="T T T"
S 0.5964 -11.7691 5.7616
S 2.2402 -5.9109 1.7392
S 3.6457 -10.6861 3.8704
S 2.1775 -2.9398 -1.0457
S 0.5337 -8.7980 2.9768
S -0.8719 -4.0228 0.8455
S 0.1078 -5.1059 4.7858
S 0.0000 0.0000 0.0000
Li 1.3102 -10.9311 3.6616
Li 1.4636 -3.7779 1.0543
Rb 1.7245 -6.2787 -1.6198
Rb 1.0494 -8.4302 6.3357
Np 3.2772 -12.2920 6.0988
Np 3.1943 -8.3677 2.4205
Np -0.4205 -6.3412 2.2954
Np -0.5033 -2.4169 -1.3829
```